(1)
This record from Alexandria via LeMat-Bulk describes an optimized crystal structure of SrTi2VNi. The functional is PBE.

abc: 4.772 4.772 4.491
angles: 90.00 90.00 90.00
Sites, in units of the cell vectors:
Sr 0.000 0.000 0.000
Ti 0.000 0.500 0.000
Ti 0.500 0.000 0.000
V 0.500 0.500 0.500
Ni 0.000 0.000 0.500

Results
The value obtained for the total moment is 0.72 μB per formula unit. Its density is 4.76 g/cm³. The calculation puts the energy relative to the elements at 2.103 eV per atom.

---

(2)
This record from Alexandria via LeMat-Bulk describes an optimized crystal structure of SrY2TiNi. The functional is PBE.

abc: 5.420 5.420 4.884
angles: 90.00 90.00 90.00
Sites, in units of the cell vectors:
Sr 0.000 0.000 0.000
Y 0.000 0.500 0.500
Y 0.500 0.000 0.500
Ti 0.500 0.500 0.000
Ni 0.500 0.500 0.500

Results
The value obtained for the total moment is 2.12 μB per formula unit. Its density is 4.31 g/cm³. The calculation puts the energy relative to the elements at 0.146 eV per atom.

---

(3)
This record from Alexandria via LeMat-Bulk describes an optimized crystal structure of SrZrTiNi2. The functional is PBE.

abc: 4.682 4.682 4.871
angles: 90.00 90.00 90.00
Sites, in units of the cell vectors:
Sr 0.000 0.000 0.000
Zr 0.500 0.500 0.500
Ti 0.000 0.000 0.500
Ni 0.000 0.500 0.000
Ni 0.500 0.000 0.000

Results
The value obtained for the total moment is 2.11 μB per formula unit. Its density is 5.35 g/cm³. The calculation puts the energy relative to the elements at 1.525 eV per atom.

---

(4)
This record from Alexandria via LeMat-Bulk describes an optimized crystal structure of SrTlNi2. The functional is PBE.

abc: 5.803 5.803 5.803
angles: 145.79 130.97 61.14
Sites, in units of the cell vectors:
Sr 0.000 0.000 0.000
Tl 0.289 0.789 0.500
Ni 0.534 0.534 0.000
Ni 0.704 0.204 0.500

Results
The value obtained for the total moment is 0.01 μB per formula unit. Its density is 8.28 g/cm³. The calculation puts the energy relative to the elements at 0.207 eV per atom.

---

(5)
This record from Alexandria via LeMat-Bulk describes an optimized crystal structure of SrTlNi2. The functional is PBE.

abc: 5.568 5.568 5.568
angles: 136.64 136.64 62.99
Sites, in units of the cell vectors:
Sr 0.000 0.000 0.000
Tl 0.250 0.750 0.500
Ni 0.500 0.500 0.000
Ni 0.750 0.250 0.500

Results
The value obtained for the total moment is 0.00 μB per formula unit. Its density is 8.46 g/cm³. The calculation puts the energy relative to the elements at 0.298 eV per atom.

---

(6)
This record from Alexandria via LeMat-Bulk describes an optimized crystal structure of Sr2TlNi. The functional is PBE.

abc: 5.314 5.314 5.314
angles: 60.00 60.00 60.00
Sites, in units of the cell vectors:
Sr 0.000 0.000 0.000
Sr 0.250 0.250 0.250
Tl 0.750 0.750 0.750
Ni 0.500 0.500 0.500

Results
The value obtained for the total moment is 0.00 μB per formula unit. Its density is 6.86 g/cm³. The calculation puts the energy relative to the elements at 0.136 eV per atom.

---

Question: What is the energy relative to the elements in the second record?
Answer: 0.146 eV per atom

---

Question: The highest energy relative to the elements belongs to which entry?
Answer: SrTi2VNi

---

Question: Which value of total moment does entry 1 give?
Answer: 0.72 μB per formula unit

---

Question: Among the records above, which one has the highest total moment?
Answer: SrY2TiNi